5
Lattice="5.6620 0.0000 0.0000 0.0000 5.6620 0.0000 0.0000 0.0000 5.9564" Properties=species:S:1:pos:R:3 comment="RbLa2AsSe (PBE, relaxed)" m_tot_mub_per_fu=0.0 n_ef_per_ev_fu=5.55 total_energy_ev_per_atom=-4.29 formation_energy_uncorrected_ev_per_atom=-0.4994 crystal_system=tetragonal pbc="T T T"
Rb 0.0000 0.0000 0.0000
La 0.0000 2.8310 2.9782
La 2.8310 0.0000 2.9782
As 2.8310 2.8310 0.0000
Se 0.0000 0.0000 2.9782